# 1
Below is a geometry-optimized BeSiP structure, with properties calculated at the PBE level.

Values from the calculation:
Formation energy without anion corrections: 0.451 eV per atom
Fermi-level density of states: 0.196 states/eV/atom

POSCAR file:
```
BeSiP
1.0
0.000 2.109 5.252
1.815 0.000 5.252
1.815 2.109 0.000
Be Si P
1 1 1
direct
0.000 0.000 0.000
0.355 0.355 0.645
0.621 0.621 0.379
```

=====

# 2
Below is a geometry-optimized BeSi2P structure, with properties calculated at the PBE level.

Values from the calculation:
Formation energy without anion corrections: 0.510 eV per atom
Fermi-level density of states: 0.322 states/eV/atom

POSCAR file:
```
BeSi2P
1.0
3.390 0.000 0.000
0.000 3.422 0.000
0.000 0.000 4.717
Be Si P
1 2 1
direct
0.000 0.000 0.000
0.000 0.500 0.500
0.500 0.000 0.500
0.500 0.500 0.000
```

=====

# 3
Below is a geometry-optimized BeSi3P structure, with properties calculated at the PBE level.

Values from the calculation:
Formation energy without anion corrections: 0.768 eV per atom
Fermi-level density of states: 0.395 states/eV/atom

POSCAR file:
```
BeSi3P
1.0
4.266 0.000 0.000
0.000 4.266 0.000
0.000 0.000 4.266
Be Si P
1 3 1
direct
0.000 0.000 0.000
0.000 0.000 0.500
0.000 0.500 0.000
0.500 0.000 0.000
0.500 0.500 0.500
```

=====

Total energy list, top to bottom, in eV/atom: -4.402 -4.486 -4.313